Here is a PBEsol-optimized structure of NaNbCo2O from Alexandria via LeMat-Bulk. Energies are from SCAN.

Values from the calculation:
The formation energy (no corrections) comes out at 1771.2 meV per atom.

a b c (Å): 4.273 4.273 6.427
angles (deg): 90.00 90.00 90.00
Positions (direct):
Na 0.000 0.000 0.000
Nb 0.000 0.000 0.500
Co 0.000 0.500 0.500
Co 0.500 0.000 0.500
O 0.500 0.500 0.000

Here is a PBEsol-optimized structure of Mn4SiAu from Alexandria via LeMat-Bulk. Energies are from SCAN.

Values from the calculation:
The formation energy (no corrections) comes out at 305.4 meV per atom.

a b c (Å): 4.661 4.661 4.661
angles (deg): 60.00 60.00 60.00
Positions (direct):
Mn 0.125 0.125 0.125
Mn 0.125 0.125 0.625
Mn 0.125 0.625 0.125
Mn 0.625 0.125 0.125
Si 0.500 0.500 0.500
Au 0.750 0.750 0.750

Here is a PBEsol-optimized structure of MnBe2Al from Alexandria via LeMat-Bulk. Energies are from SCAN.

Values from the calculation:
As for the formation energy: -0.0010 eV per atom.

a b c (Å): 4.760 7.773 2.413
angles (deg): 90.00 112.31 90.00
Positions (direct):
Mn 0.000 0.000 0.000
Mn 0.500 0.500 0.000
Be 0.250 0.250 0.500
Be 0.250 0.750 0.500
Be 0.750 0.250 0.500
Be 0.750 0.750 0.500
Al 0.000 0.500 0.000
Al 0.500 0.000 0.000

Here is a PBEsol-optimized structure of FeRhAu from Alexandria via LeMat-Bulk. Energies are from SCAN.

Values from the calculation:
As for the formation energy: -0.0782 eV per atom. The calculation puts the distance to the lowest polymorph of the same formula at 0.000 eV per formula unit.

a b c (Å): 2.785 3.593 8.472
angles (deg): 90.00 90.00 90.00
Positions (direct):
Fe 0.000 0.000 0.000
Fe 0.500 0.500 0.500
Rh 0.000 0.000 0.356
Rh 0.500 0.500 0.856
Au 0.000 0.000 0.674
Au 0.500 0.500 0.174